Run one
Here is an optimized crystal structure of Rb2V2Fe from Alexandria via LeMat-Bulk. Energies are from PBE.

Structure (CIF):
```
data_Rb2V2Fe
_cell_length_a 10.619
_cell_length_b 10.619
_cell_length_c 3.069
_cell_angle_alpha 90.00
_cell_angle_beta 90.00
_cell_angle_gamma 90.00
_symmetry_space_group_name_H-M 'P 4/m b m'
_symmetry_Int_Tables_number 127
_symmetry_space_group_name_Hall '-P 4 2ab'
loop_
_atom_site_label
_atom_site_type_symbol
_atom_site_fract_x
_atom_site_fract_y
_atom_site_fract_z
_atom_site_occupancy
Rb1 Rb 0.219 0.281 0.000 1
V1 V 0.060 0.560 0.500 1
Fe1 Fe 0.000 0.000 0.000 1
```

Run two
Here is an optimized crystal structure of Rb2V2Fe from Alexandria via LeMat-Bulk. Energies are from PBE.

Structure (CIF):
```
data_Rb2V2Fe
_cell_length_a 3.351
_cell_length_b 3.351
_cell_length_c 24.569
_cell_angle_alpha 90.00
_cell_angle_beta 90.00
_cell_angle_gamma 90.00
_symmetry_space_group_name_H-M 'I 4/m m m'
_symmetry_Int_Tables_number 139
_symmetry_space_group_name_Hall '-I 4 2'
loop_
_atom_site_label
_atom_site_type_symbol
_atom_site_fract_x
_atom_site_fract_y
_atom_site_fract_z
_atom_site_occupancy
Rb1 Rb 0.000 0.000 0.111 1
V1 V 0.000 0.500 0.250 1
Fe1 Fe 0.000 0.000 0.500 1
```

Stability summary - winner: run two; margin: 391 meV per atom.